Computed, not measured: a relaxed structure of LiSiO2 at the GGA-PBE level of DFT.

abc: 4.704 4.704 2.633
angles: 90.00 90.00 109.08
Fractional positions:
Li 0.000 0.000 0.000
Si 0.500 0.500 0.000
O 0.287 0.287 0.500
O 0.713 0.713 0.500

Formation energy (no corrections)   -1.677 eV per atom
Total DFT energy (no corrections)   -5.99 eV/atom